First-principles (PBE-GGA) data for a geometry-optimized Ge2SbF structure, as listed in the Alexandria database.

Properties
relative energy among the computed polymorphs: 0.0023 eV per atom
uncorrected formation energy: -0.380 eV per atom

Geometry as CIF:
```
data_Ge2SbF
_symmetry_space_group_name_H-M 'I -4 2 d'
_symmetry_Int_Tables_number 122
_symmetry_space_group_name_Hall 'I -4 2bw'
_cell_length_a 4.9708
_cell_length_b 4.9708
_cell_length_c 14.8358
_cell_angle_alpha 90.00
_cell_angle_beta 90.00
_cell_angle_gamma 90.00
loop_
_atom_site_label
_atom_site_type_symbol
_atom_site_fract_x
_atom_site_fract_y
_atom_site_fract_z
Ge1 Ge 0.1431 0.2500 0.1250
Sb1 Sb 0.0000 0.0000 0.5000
F1 F 0.0000 0.0000 0.0000
```